DFT (PBE) results for a relaxed structure of Y2ScGe4Pt3.

Cell lengths 4.1564, 4.1564, 11.2982 Å; angles 90.00, 90.00, 90.00 degrees
Sites, in units of the cell vectors:
Y 0.5000 0.0000 0.2458
Y 0.0000 0.5000 0.7542
Pt 0.0000 0.5000 0.1299
Pt 0.5000 0.0000 0.8701
Pt 0.0000 0.0000 0.5000
Sc 0.5000 0.5000 0.5000
Ge 0.5000 0.0000 0.6515
Ge 0.0000 0.5000 0.3485
Ge 0.5000 0.5000 0.0000
Ge 0.0000 0.0000 0.0000

Results
- energy of formation (eV/atom) = -0.91
- SG = No. 115
- calculated density (g/cm³) = 9.346